Below is Be2CrTc after structural relaxation, with properties calculated at the PBE level.

abc: 6.057 6.057 4.916
angles: 51.98 51.98 90.00
Positions (direct):
Cr (0.500, 0.500, 0.000)
Cr (0.250, 0.750, 0.500)
Tc (0.000, 0.000, 0.000)
Tc (0.750, 0.250, 0.500)
Be (0.618, 0.125, 0.250)
Be (0.132, 0.625, 0.250)
Be (0.375, 0.382, 0.750)
Be (0.875, 0.868, 0.750)

- Energy of formation: 1.4 eV/f.u.
- Density of states at the Fermi level: 3.2 states/eV/f.u.


Below is Sc3CrI after structural relaxation, with properties calculated at the PBE level.

abc: 5.027 5.027 5.027
angles: 90.00 90.00 90.00
Positions (direct):
I (0.500, 0.500, 0.500)
Cr (0.000, 0.000, 0.000)
Sc (0.000, 0.500, 0.000)
Sc (0.000, 0.000, 0.500)
Sc (0.500, 0.000, 0.000)

- Uncorrected formation energy: 0.35 eV/atom
- Density of states at the Fermi level: 6.3 states/eV/f.u.


Below is LiCu2F after structural relaxation, with properties calculated at the PBE level.

abc: 7.928 7.928 5.889
angles: 47.69 47.69 90.00
Positions (direct):
Li (0.500, 0.500, 0.000)
Li (0.250, 0.750, 0.500)
Cu (0.720, 0.125, 0.250)
Cu (0.030, 0.625, 0.250)
Cu (0.375, 0.280, 0.750)
Cu (0.875, 0.970, 0.750)
F (0.000, 0.000, 0.000)
F (0.750, 0.250, 0.500)

- Uncorrected formation energy: -0.57 eV/atom
- Density of states at the Fermi level: 0.2 states/eV/f.u.


Below is AlSiTc after structural relaxation, with properties calculated at the PBE level.

abc: 4.050 4.050 4.050
angles: 60.00 60.00 60.00
Positions (direct):
Si (0.750, 0.750, 0.750)
Tc (0.000, 0.000, 0.000)
Al (0.500, 0.500, 0.500)

- Uncorrected formation energy: -0.08 eV/atom
- Density of states at the Fermi level: 1.1 states/eV/f.u.


Below is Ba3TiCd after structural relaxation, with properties calculated at the PBE level.

abc: 6.176 6.176 6.176
angles: 90.00 90.00 90.00
Positions (direct):
Ti (0.000, 0.000, 0.000)
Ba (0.000, 0.500, 0.000)
Ba (0.000, 0.000, 0.500)
Ba (0.500, 0.000, 0.000)
Cd (0.500, 0.500, 0.500)

- Energy of formation: 2.9 eV/f.u.
- Density of states at the Fermi level: 5.2 states/eV/f.u.


Below is CdPIr4 after structural relaxation, with properties calculated at the PBE level.

abc: 5.233 5.233 5.233
angles: 60.00 60.00 60.00
Positions (direct):
Cd (0.000, 0.000, 0.000)
P (0.750, 0.750, 0.750)
Ir (0.875, 0.375, 0.375)
Ir (0.375, 0.375, 0.875)
Ir (0.375, 0.875, 0.375)
Ir (0.375, 0.375, 0.375)

- Energy of formation: 3.5 eV/f.u.
- Density of states at the Fermi level: 5.5 states/eV/f.u.


Below is TaMo2RhN after structural relaxation, with properties calculated at the PBE level.

abc: 4.087 4.087 4.240
angles: 90.00 90.00 90.00
Positions (direct):
Mo (0.000, 0.500, 0.000)
Mo (0.500, 0.000, 0.000)
N (0.000, 0.000, 0.000)
Rh (0.500, 0.500, 0.500)
Ta (0.000, 0.000, 0.500)

- Uncorrected formation energy: -0.34 eV/atom
- Density of states at the Fermi level: 5.9 states/eV/f.u.


Below is PaCdAsO6 after structural relaxation, with properties calculated at the PBE level.

abc: 5.460 5.460 9.413
angles: 90.00 90.00 120.00
Positions (direct):
Pa (0.333, 0.667, 0.250)
Pa (0.667, 0.333, 0.750)
Cd (0.000, 0.000, 0.000)
Cd (0.000, 0.000, 0.500)
As (0.667, 0.333, 0.250)
As (0.333, 0.667, 0.750)
O (0.659, 0.615, 0.139)
O (0.956, 0.341, 0.139)
O (0.341, 0.956, 0.639)
O (0.044, 0.659, 0.861)
O (0.385, 0.341, 0.361)
O (0.956, 0.615, 0.361)
O (0.615, 0.956, 0.861)
O (0.659, 0.044, 0.361)
O (0.044, 0.385, 0.639)
O (0.385, 0.044, 0.139)
O (0.615, 0.659, 0.639)
O (0.341, 0.385, 0.861)

- Uncorrected formation energy: -2.00 eV/atom
- Density of states at the Fermi level: 0.0 states/eV/f.u.


Below is BaCaGeRh2 after structural relaxation, with properties calculated at the PBE level.

abc: 5.044 5.820 5.044
angles: 90.00 90.00 90.00
Positions (direct):
Ge (0.500, 0.500, 0.500)
Ca (0.000, 0.500, 0.000)
Rh (0.000, 0.000, 0.500)
Rh (0.500, 0.000, 0.000)
Ba (0.000, 0.000, 0.000)

- Energy of formation: 6.4 eV/f.u.
- Density of states at the Fermi level: 4.6 states/eV/f.u.


Below is Zn2NiAs after structural relaxation, with properties calculated at the PBE level.

abc: 4.796 4.796 4.796
angles: 133.19 133.19 68.36
Positions (direct):
As (0.500, 0.500, 0.000)
Ni (0.750, 0.250, 0.500)
Zn (0.000, 0.000, 0.000)
Zn (0.250, 0.750, 0.500)

- Energy of formation: 0.1 eV/f.u.
- Density of states at the Fermi level: 1.5 states/eV/f.u.


Below is Ba2Mg4AgHg3 after structural relaxation, with properties calculated at the PBE level.

abc: 4.885 4.885 11.975
angles: 90.00 90.00 90.00
Positions (direct):
Ba (0.500, 0.000, 0.258)
Ba (0.000, 0.500, 0.742)
Mg (0.500, 0.500, 0.000)
Mg (0.000, 0.000, 0.000)
Mg (0.500, 0.000, 0.618)
Mg (0.000, 0.500, 0.382)
Ag (0.500, 0.500, 0.500)
Hg (0.000, 0.000, 0.500)
Hg (0.500, 0.000, 0.859)
Hg (0.000, 0.500, 0.141)

- Energy of formation: -3.1 eV/f.u.
- Density of states at the Fermi level: 7.0 states/eV/f.u.


Below is LiPr2AgSe4 after structural relaxation, with properties calculated at the PBE level.

abc: 4.288 6.949 7.439
angles: 68.65 90.00 90.00
Positions (direct):
Li (0.000, 0.500, 0.500)
Pr (0.000, 0.000, 0.000)
Pr (0.500, 0.000, 0.500)
Ag (0.500, 0.500, 0.000)
Se (0.000, 0.741, 0.752)
Se (0.000, 0.259, 0.248)
Se (0.500, 0.742, 0.258)
Se (0.500, 0.258, 0.742)

- Uncorrected formation energy: -1.40 eV/atom


DFT total energy: -6.52; -5.68; -3.56; -6.59; -2.34; -6.37; -10.17; -6.98; -3.36; -3.23; -1.70; -4.93 (eV per atom)